{"formula": "Hf3CuTe5", "functional": "PBE", "state": "optimized geometry", "energy_ev_per_atom": -5.76, "total_magnetization_mub_per_fu": 0.7, "lattice_angstrom": [[6.276, 0.000, 0.000], [-3.138, 5.435, 0.000], [0.000, 0.000, 8.307]], "species": ["Te", "Te", "Te", "Te", "Te", "Hf", "Hf", "Hf", "Cu"], "fractional_positions": [[0.333, 0.667, 0.231], [0.667, 0.333, 0.231], [0.667, 0.333, 0.769], [0.000, 0.000, 0.500], [0.333, 0.667, 0.769], [0.500, 0.500, 0.500], [0.500, 0.000, 0.500], [0.000, 0.500, 0.500], [0.000, 0.000, 0.000]]}

{"formula": "Li2MgAl2Pd2Pt", "functional": "PBE", "state": "optimized geometry", "energy_ev_per_atom": -4.25, "total_magnetization_mub_per_fu": 0.0, "lattice_angstrom": [[4.206, 0.000, 0.000], [0.000, 4.206, 0.000], [0.000, 0.000, 6.658]], "species": ["Mg", "Li", "Li", "Pt", "Pd", "Pd", "Al", "Al"], "fractional_positions": [[0.500, 0.500, 0.500], [0.000, 0.500, 0.764], [0.500, 0.000, 0.236], [0.000, 0.000, 0.000], [0.500, 0.000, 0.733], [0.000, 0.500, 0.267], [0.500, 0.500, 0.000], [0.000, 0.000, 0.500]]}

{"formula": "Mg2Cd2TeSe3", "functional": "PBE", "state": "optimized geometry", "energy_ev_per_atom": -3.18, "lattice_angstrom": [[-3.530, -3.082, -5.962], [-0.310, -7.138, -2.541], [-3.718, 1.129, 4.839]], "species": ["Se", "Se", "Se", "Mg", "Mg", "Cd", "Cd", "Te"], "fractional_positions": [[0.638, 0.362, 0.500], [0.375, 0.125, 0.738], [0.875, 0.625, 0.262], [0.732, 0.006, 0.605], [0.994, 0.268, 0.395], [0.515, 0.743, 0.869], [0.257, 0.485, 0.131], [0.113, 0.887, 0.000]]}

{"formula": "Nd2Ge2Ir", "functional": "PBE", "state": "optimized geometry", "energy_ev_per_atom": -6.11, "total_magnetization_mub_per_fu": 0.0, "lattice_angstrom": [[5.298, -2.209, 0.000], [5.298, 2.209, 0.000], [-1.145, 0.000, 10.512]], "species": ["Nd", "Nd", "Nd", "Nd", "Ir", "Ir", "Ge", "Ge", "Ge", "Ge"], "fractional_positions": [[0.774, 0.774, 0.642], [0.226, 0.226, 0.358], [0.929, 0.929, 0.168], [0.071, 0.071, 0.832], [0.780, 0.780, 0.914], [0.220, 0.220, 0.086], [0.383, 0.383, 0.916], [0.476, 0.476, 0.616], [0.524, 0.524, 0.384], [0.617, 0.617, 0.084]]}